## NaAc2CoN2 (PBE)

Data for NaAc2CoN2 after structural relaxation.

Calculated values
Calculated volume, Å³ per cell: 233.27
Formation energy without anion corrections, meV/atom: -338

Cell and atoms, written as CIF:
```
data_NaAc2CoN2
_chemical_formula_sum 'Na2 Ac4 Co2 N4'
_symmetry_space_group_name_H-M 'P n n m'
_symmetry_Int_Tables_number 58
_symmetry_space_group_name_Hall '-P 2 2n'
_cell_length_a 6.548
_cell_length_b 7.745
_cell_length_c 4.599
_cell_angle_alpha 90.00
_cell_angle_beta 90.00
_cell_angle_gamma 90.00
loop_
_atom_site_label
_atom_site_type_symbol
_atom_site_fract_x
_atom_site_fract_y
_atom_site_fract_z
_atom_site_occupancy
Na1 Na 0.000 0.000 0.000 1
Ac1 Ac 0.108 0.254 0.500 1
Co1 Co 0.000 0.500 0.000 1
N1 N 0.233 0.908 0.500 1
```